[1]
A plane-wave DFT calculation with PBE-GGA was carried out for Cr2HgBiB after structural relaxation.

Cell and atoms, written as CIF:
```
data_Cr2HgBiB
_chemical_formula_sum 'Cr2 Hg1 Bi1 B1'
_cell_length_a 4.320
_cell_length_b 4.320
_cell_length_c 4.968
_cell_angle_alpha 90.00
_cell_angle_beta 90.00
_cell_angle_gamma 90.00
_space_group_name_H-M_alt 'P 4/m m m'
_space_group_IT_number 123
_space_group_name_Hall '-P 4 2'
loop_
_atom_site_label
_atom_site_type_symbol
_atom_site_fract_x
_atom_site_fract_y
_atom_site_fract_z
Cr1 Cr 0.000 0.500 0.000
Hg1 Hg 0.000 0.000 0.500
Bi1 Bi 0.500 0.500 0.500
B1 B 0.500 0.500 0.000
```

Computed properties:
Total moment ... 6.14 μB/f.u.
N(E_F) ... 2.91 states/eV/cell
E ... -26.74 eV per cell
Formation energy ... 324 kJ/mol of formula units

[2]
A plane-wave DFT calculation with PBE-GGA was carried out for BeRuSe after structural relaxation.

Cell and atoms, written as CIF:
```
data_BeRuSe
_chemical_formula_sum 'Be1 Ru1 Se1'
_cell_length_a 2.9904
_cell_length_b 2.9904
_cell_length_c 5.4613
_cell_angle_alpha 90.00
_cell_angle_beta 90.00
_cell_angle_gamma 120.00
_space_group_name_H-M_alt 'P 3 m 1'
_space_group_IT_number 156
_space_group_name_Hall 'P 3 -2"'
loop_
_atom_site_label
_atom_site_type_symbol
_atom_site_fract_x
_atom_site_fract_y
_atom_site_fract_z
Be1 Be 0.0000 0.0000 0.0000
Ru1 Ru 0.6667 0.3333 0.3065
Se1 Se 0.3333 0.6667 0.6403
```

Computed properties:
Energy relative to the lowest polymorph listed for this composition ... 0.0498 eV per atom
Total moment ... 0.00 μB/f.u.
N(E_F) ... 1.16 states/eV/cell
Uncorrected formation energy ... 0.45 eV per formula unit
E ... -16.04 eV per cell

[3]
A plane-wave DFT calculation with PBE-GGA was carried out for LaCeNdS3 after structural relaxation.

Cell and atoms, written as CIF:
```
data_LaCeNdS3
_chemical_formula_sum 'La2 Ce2 Nd2 S6'
_cell_length_a 7.843
_cell_length_b 4.069
_cell_length_c 10.219
_cell_angle_alpha 90.00
_cell_angle_beta 102.21
_cell_angle_gamma 90.00
_space_group_name_H-M_alt 'P 1 21/m 1'
_space_group_IT_number 11
_space_group_name_Hall '-P 2yb'
loop_
_atom_site_label
_atom_site_type_symbol
_atom_site_fract_x
_atom_site_fract_y
_atom_site_fract_z
La1 La 0.183 0.250 0.205
Ce1 Ce 0.183 0.250 0.615
Nd1 Nd 0.337 0.750 0.901
S1 S 0.086 0.250 0.884
S2 S 0.193 0.750 0.428
S3 S 0.460 0.750 0.189
```

Computed properties:
Total moment ... 1.94 μB/f.u.
N(E_F) ... 13.58 states/eV/cell
Uncorrected formation energy ... -10.76 eV per formula unit
E ... -77.55 eV per cell

[4]
A plane-wave DFT calculation with PBE-GGA was carried out for CsInSCl2 after structural relaxation.

Cell and atoms, written as CIF:
```
data_CsInSCl2
_chemical_formula_sum 'Cs1 In1 S1 Cl2'
_cell_length_a 6.358
_cell_length_b 6.358
_cell_length_c 5.678
_cell_angle_alpha 90.00
_cell_angle_beta 90.00
_cell_angle_gamma 90.00
_space_group_name_H-M_alt 'P 4/m m m'
_space_group_IT_number 123
_space_group_name_Hall '-P 4 2'
loop_
_atom_site_label
_atom_site_type_symbol
_atom_site_fract_x
_atom_site_fract_y
_atom_site_fract_z
Cs1 Cs 0.000 0.000 0.000
In1 In 0.500 0.500 0.500
S1 S 0.000 0.000 0.500
Cl1 Cl 0.000 0.500 0.000
```

Computed properties:
Energy relative to the lowest polymorph listed for this composition ... 0.9832 eV per atom
Total moment ... 1.03 μB/f.u.
N(E_F) ... 8.24 states/eV/cell
Uncorrected formation energy ... -0.65 eV per formula unit
E ... -12.06 eV per cell

[5]
A plane-wave DFT calculation with PBE-GGA was carried out for Dy5Y4Zr after structural relaxation.

Cell and atoms, written as CIF:
```
data_Dy5Y4Zr
_chemical_formula_sum 'Dy5 Y4 Zr1'
_cell_length_a 6.093
_cell_length_b 3.509
_cell_length_c 14.478
_cell_angle_alpha 90.00
_cell_angle_beta 98.18
_cell_angle_gamma 90.00
_space_group_name_H-M_alt 'P 1 2/m 1'
_space_group_IT_number 10
_space_group_name_Hall '-P 2y'
loop_
_atom_site_label
_atom_site_type_symbol
_atom_site_fract_x
_atom_site_fract_y
_atom_site_fract_z
Dy1 Dy 0.000 0.000 0.000
Dy2 Dy 0.201 0.000 0.600
Dy3 Dy 0.300 0.500 0.400
Y1 Y 0.106 0.500 0.804
Y2 Y 0.402 0.000 0.191
Zr1 Zr 0.500 0.500 0.000
```

Computed properties:
Total moment ... 0.00 μB/f.u.
N(E_F) ... 14.01 states/eV/cell
E ... -56.88 eV per cell
Formation energy ... 52 kJ/mol of formula units

[6]
A plane-wave DFT calculation with PBE-GGA was carried out for GaSb2Pd7 after structural relaxation.

Cell and atoms, written as CIF:
```
data_GaSb2Pd7
_chemical_formula_sum 'Ga2 Sb4 Pd14'
_cell_length_a 7.605
_cell_length_b 16.280
_cell_length_c 3.052
_cell_angle_alpha 90.00
_cell_angle_beta 90.00
_cell_angle_gamma 90.00
_space_group_name_H-M_alt 'C m m m'
_space_group_IT_number 65
_space_group_name_Hall '-C 2 2'
loop_
_atom_site_label
_atom_site_type_symbol
_atom_site_fract_x
_atom_site_fract_y
_atom_site_fract_z
Ga1 Ga 0.000 0.000 0.000
Sb1 Sb 0.000 0.335 0.500
Pd1 Pd 0.000 0.205 0.000
Pd2 Pd 0.000 0.500 0.500
Pd3 Pd 0.190 0.091 0.500
```

Computed properties:
Total moment ... 0.00 μB/f.u.
N(E_F) ... 12.13 states/eV/cell
Uncorrected formation energy ... -2.13 eV per formula unit
E ... -99.51 eV per cell

[7]
A plane-wave DFT calculation with PBE-GGA was carried out for CsBa3Al after structural relaxation.

Cell and atoms, written as CIF:
```
data_CsBa3Al
_chemical_formula_sum 'Cs1 Ba3 Al1'
_cell_length_a 6.437
_cell_length_b 6.437
_cell_length_c 6.437
_cell_angle_alpha 90.00
_cell_angle_beta 90.00
_cell_angle_gamma 90.00
_space_group_name_H-M_alt 'P m -3 m'
_space_group_IT_number 221
_space_group_name_Hall '-P 4 2 3'
loop_
_atom_site_label
_atom_site_type_symbol
_atom_site_fract_x
_atom_site_fract_y
_atom_site_fract_z
Cs1 Cs 0.000 0.000 0.000
Ba1 Ba 0.000 0.000 0.500
Al1 Al 0.500 0.500 0.500
```

Computed properties:
Energy relative to the lowest polymorph listed for this composition ... 0.7705 eV per atom
Total moment ... 0.00 μB/f.u.
N(E_F) ... 3.34 states/eV/cell
E ... -5.99 eV per cell
Formation energy ... 422 kJ/mol of formula units

[8]
A plane-wave DFT calculation with PBE-GGA was carried out for SiPAu2 after structural relaxation.

Cell and atoms, written as CIF:
```
data_SiPAu2
_chemical_formula_sum 'Si1 P1 Au2'
_cell_length_a 3.771
_cell_length_b 4.059
_cell_length_c 4.494
_cell_angle_alpha 90.00
_cell_angle_beta 90.00
_cell_angle_gamma 90.00
_space_group_name_H-M_alt 'P m m m'
_space_group_IT_number 47
_space_group_name_Hall '-P 2 2'
loop_
_atom_site_label
_atom_site_type_symbol
_atom_site_fract_x
_atom_site_fract_y
_atom_site_fract_z
Si1 Si 0.000 0.000 0.000
P1 P 0.000 0.500 0.500
Au1 Au 0.500 0.000 0.500
Au2 Au 0.500 0.500 0.000
```

Computed properties:
Energy relative to the lowest polymorph listed for this composition ... 0.3535 eV per atom
Total moment ... 0.00 μB/f.u.
N(E_F) ... 1.65 states/eV/cell
Uncorrected formation energy ... 1.66 eV per formula unit
E ... -15.73 eV per cell